Below is a relaxed structure of YErPd4, with properties calculated at the GGA-PBE level.

## Properties
**DFT formation energy**: -0.6124 eV per atom
**SG**: P4/mmm
**Mass density**: 8.67 g/cm³
**Final energy**: -5.912 eV per atom

a b c (Å): 3.933 3.936 8.436
angles (deg): 90.00 90.00 90.00
Fractional coordinates of all 6 atoms:
Pd1 0.001 0.497 0.744
Pd2 0.001 0.497 0.252
Pd3 0.501 0.997 0.252
Pd4 0.501 0.997 0.745
Y1 0.501 0.497 0.998
Er1 0.001 0.997 0.498


Below is a relaxed structure of CsTaS3, with properties calculated at the GGA-PBE level.

## Properties
**Formation energy from raw total energies**: -5.3 eV/f.u.
**SG**: C2/c
**Mass density**: 4.57 g/cm³
**Final energy**: -6.072 eV per atom

a b c (Å): 6.500 10.165 10.165
angles (deg): 67.07 77.01 77.01
Fractional coordinates of all 20 atoms:
Ta1 0.530 0.840 0.676
Ta2 0.030 0.676 0.840
Ta3 0.470 0.160 0.324
Ta4 0.970 0.324 0.160
S1 0.559 0.096 0.571
S2 0.828 0.107 0.193
S3 0.059 0.571 0.096
S4 0.900 0.734 0.610
S5 0.941 0.429 0.904
S6 0.400 0.610 0.734
S7 0.328 0.193 0.107
S8 0.100 0.266 0.390
S9 0.172 0.893 0.807
S10 0.600 0.390 0.266
S11 0.441 0.904 0.429
S12 0.672 0.807 0.893
Cs1 0.750 0.155 0.845
Cs2 0.250 0.393 0.607
Cs3 0.250 0.845 0.155
Cs4 0.750 0.607 0.393


Below is a relaxed structure of KPr2Se3, with properties calculated at the GGA-PBE level.

## Properties
**Formation energy from raw total energies**: -10.6 eV/f.u.
**SG**: P6_3/mmc
**Mass density**: 5.09 g/cm³
**Final energy**: -5.292 eV per atom

a b c (Å): 4.310 4.310 22.643
angles (deg): 90.00 90.00 120.00
Fractional coordinates of all 12 atoms:
Se1 0.333 0.667 0.349
Se2 0.000 0.000 0.500
Se3 0.000 0.000 0.000
Se4 0.333 0.667 0.151
Se5 0.667 0.333 0.651
Se6 0.667 0.333 0.849
Pr1 0.333 0.667 0.922
Pr2 0.333 0.667 0.578
Pr3 0.667 0.333 0.078
Pr4 0.667 0.333 0.422
K1 0.000 0.000 0.750
K2 0.000 0.000 0.250


Below is a relaxed structure of Ac2Zn3In2, with properties calculated at the GGA-PBE level.

## Properties
**DFT formation energy**: -0.3393 eV per atom
**SG**: C2/m
**Mass density**: 7.99 g/cm³
**Final energy**: -2.842 eV per atom

a b c (Å): 4.768 6.338 7.106
angles (deg): 111.37 90.00 112.09
Fractional coordinates of all 7 atoms:
Ac1 0.851 0.703 0.234
Ac2 0.149 0.297 0.766
Zn1 0.578 0.156 0.407
Zn2 0.500 0.000 0.000
Zn3 0.422 0.844 0.593
In1 0.154 0.308 0.271
In2 0.846 0.692 0.729


Below is a relaxed structure of CaTb2Ho3Te6, with properties calculated at the GGA-PBE level.

## Properties
**Formation energy from raw total energies**: -16.0 eV/f.u.
**SG**: C2/m
**Mass density**: 7.57 g/cm³
**Final energy**: -4.986 eV per atom

a b c (Å): 4.369 8.761 9.787
angles (deg): 103.18 102.90 90.00
Fractional coordinates of all 12 atoms:
Te1 0.001 0.253 0.003
Te2 0.668 0.081 0.335
Te3 0.663 0.584 0.327
Te4 0.332 0.919 0.665
Te5 0.999 0.747 0.997
Te6 0.337 0.416 0.673
Tb1 0.828 0.656 0.656
Tb2 0.172 0.344 0.344
Ho1 0.833 0.175 0.666
Ho2 0.167 0.825 0.334
Ho3 0.500 0.500 0.000
Ca1 0.500 0.000 0.000


Below is a relaxed structure of CeSm8Y5, with properties calculated at the GGA-PBE level.

## Properties
**DFT formation energy**: 0.2658 eV per atom
**SG**: I-4
**Mass density**: 6.24 g/cm³
**Final energy**: -5.163 eV per atom

a b c (Å): 8.531 8.531 8.531
angles (deg): 111.80 104.91 111.80
Fractional coordinates of all 14 atoms:
Sm1 0.933 0.099 0.662
Sm2 0.673 0.396 0.929
Sm3 0.338 0.271 0.437
Sm4 0.563 0.901 0.835
Sm5 0.533 0.604 0.277
Sm6 0.723 0.256 0.327
Sm7 0.165 0.729 0.067
Sm8 0.071 0.744 0.467
Y1 0.815 0.683 0.721
Y2 0.038 0.317 0.132
Y3 0.500 0.000 0.500
Y4 0.868 0.906 0.185
Y5 0.279 0.094 0.962
Ce1 0.250 0.500 0.750


Below is a relaxed structure of TaOsSe2N, with properties calculated at the GGA-PBE level.

## Properties
**Formation energy from raw total energies**: 4.9 eV/f.u.
**SG**: P4/mmm
**Mass density**: 9.01 g/cm³
**Final energy**: -6.704 eV per atom

a b c (Å): 5.117 5.117 3.825
angles (deg): 90.00 90.00 90.00
Fractional coordinates of all 5 atoms:
Se1 0.500 0.000 0.000
Se2 0.000 0.500 0.000
Ta1 0.000 0.000 0.000
Os1 0.500 0.500 0.500
N1 0.000 0.000 0.500


Below is a relaxed structure of MgTlOs2, with properties calculated at the GGA-PBE level.

## Properties
**DFT formation energy**: 0.5297 eV per atom
**SG**: Cm
**Mass density**: 11.98 g/cm³
**Final energy**: -6.075 eV per atom

a b c (Å): 4.367 4.367 7.414
angles (deg): 74.37 74.37 38.52
Fractional coordinates of all 4 atoms:
Os1 0.239 0.239 0.170
Os2 0.003 0.003 0.047
Tl1 0.490 0.490 0.470
Mg1 0.768 0.768 0.813


Below is a relaxed structure of CsKPuI6, with properties calculated at the GGA-PBE level.

## Properties
**Formation energy from raw total energies**: -10.5 eV/f.u.
**SG**: P-31c
**Mass density**: 3.77 g/cm³
**Final energy**: -4.006 eV per atom

a b c (Å): 8.751 8.751 15.641
angles (deg): 90.00 90.00 120.00
Fractional coordinates of all 18 atoms:
I1 0.607 0.951 0.863
I2 0.393 0.049 0.137
I3 0.049 0.655 0.863
I4 0.049 0.393 0.637
I5 0.607 0.655 0.637
I6 0.345 0.951 0.637
I7 0.951 0.607 0.363
I8 0.393 0.345 0.363
I9 0.655 0.049 0.363
I10 0.655 0.607 0.137
I11 0.951 0.345 0.137
I12 0.345 0.393 0.863
K1 0.333 0.667 0.250
K2 0.667 0.333 0.750
Cs1 0.000 0.000 0.500
Cs2 0.000 0.000 0.000
Pu1 0.667 0.333 0.250
Pu2 0.333 0.667 0.750


Below is a relaxed structure of In2FeSi2, with properties calculated at the GGA-PBE level.

## Properties
**Formation energy from raw total energies**: 3.5 eV/f.u.
**SG**: P4/mbm
**Mass density**: 5.48 g/cm³
**Final energy**: -4.265 eV per atom

a b c (Å): 7.228 7.228 3.966
angles (deg): 90.00 90.00 90.00
Fractional coordinates of all 10 atoms:
Si1 0.121 0.621 0.500
Si2 0.621 0.879 0.500
Si3 0.379 0.121 0.500
Si4 0.879 0.379 0.500
Fe1 0.000 0.000 0.000
Fe2 0.500 0.500 0.000
In1 0.175 0.325 0.000
In2 0.675 0.175 0.000
In3 0.325 0.825 0.000
In4 0.825 0.675 0.000


Below is a relaxed structure of Ti9C4O2, with properties calculated at the GGA-PBE level.

## Properties
**Formation energy from raw total energies**: -17.6 eV/f.u.
**SG**: P-3c1
**Mass density**: 4.80 g/cm³
**Final energy**: -9.034 eV per atom

a b c (Å): 5.271 5.271 14.678
angles (deg): 90.00 90.00 60.00
Fractional coordinates of all 30 atoms:
Ti1 0.012 0.656 0.582
Ti2 0.000 0.675 0.250
Ti3 0.988 0.344 0.418
Ti4 0.675 0.325 0.250
Ti5 0.000 0.325 0.750
Ti6 0.344 0.668 0.418
Ti7 0.656 0.332 0.582
Ti8 0.332 0.656 0.082
Ti9 0.344 0.988 0.918
Ti10 0.676 0.000 0.750
Ti11 0.012 0.332 0.082
Ti12 0.988 0.668 0.918
Ti13 0.332 0.012 0.582
Ti14 0.668 0.988 0.418
Ti15 0.325 0.675 0.750
Ti16 0.324 0.000 0.250
Ti17 0.668 0.344 0.918
Ti18 0.656 0.012 0.082
O1 0.000 0.000 0.162
O2 0.000 0.000 0.838
O3 0.000 0.000 0.338
O4 0.000 0.000 0.662
C1 0.333 0.333 0.493
C2 0.334 0.333 0.674
C3 0.667 0.667 0.007
C4 0.666 0.667 0.326
C5 0.667 0.667 0.826
C6 0.333 0.333 0.174
C7 0.667 0.667 0.507
C8 0.333 0.333 0.993


Below is a relaxed structure of NdSc2Sb, with properties calculated at the GGA-PBE level.

## Properties
**Formation energy from raw total energies**: -1.9 eV/f.u.
**SG**: P4/mmm
**Mass density**: 5.90 g/cm³
**Final energy**: -5.859 eV per atom

a b c (Å): 4.543 4.697 4.697
angles (deg): 90.00 90.00 90.00
Fractional coordinates of all 4 atoms:
Sc1 0.000 0.500 0.000
Sc2 0.000 0.000 0.500
Sb1 0.500 0.000 0.000
Nd1 0.500 0.500 0.500